Record 1
PmAl4 | GGA-PBE | relaxed

Structure (POSCAR):
```
PmAl4
1.0
-2.2431 3.2134 6.8943
2.2431 -3.2134 6.8943
2.2431 3.2134 -6.8943
Pm Al
2 8
Direct
0.3641 0.1141 0.2500
0.6359 0.8859 0.7500
0.0000 0.5000 0.5000
0.1364 0.8864 0.2500
0.1566 0.6979 0.4586
0.2607 0.3021 0.9586
0.5000 0.5000 0.0000
0.7393 0.6979 0.0414
0.8434 0.3021 0.5414
0.8636 0.1136 0.7500
```

For the energy of formation from the pure elements, the calculation gives -0.3470 eV per atom.

Record 2
PrHo4Ag2 | GGA-PBE | relaxed

Structure (POSCAR):
```
PrHo4Ag2
1.0
2.4577 1.4189 10.4406
-2.4577 1.4189 10.4406
0.0000 -2.8379 10.4406
Pr Ho Ag
1 4 2
Direct
0.0000 0.0000 0.0000
0.2009 0.2009 0.2009
0.3982 0.3982 0.3982
0.6018 0.6018 0.6018
0.7991 0.7991 0.7991
0.1027 0.1027 0.1027
0.8973 0.8973 0.8973
```

For the energy of formation from the pure elements, the calculation gives 0.1633 eV per atom.

Record 3
Pr4AsPb2Se | GGA-PBE | relaxed

Structure (POSCAR):
```
Pr4AsPb2Se
1.0
7.4783 0.0000 0.0000
0.0000 4.2911 0.0000
-2.4638 0.0000 7.7431
Pr As Pb Se
4 1 2 1
Direct
0.2373 0.0000 0.2227
0.2546 0.5000 0.7736
0.7454 0.5000 0.2264
0.7627 0.0000 0.7773
0.0000 0.5000 0.0000
0.0000 0.0000 0.5000
0.5000 0.5000 0.5000
0.5000 0.0000 0.0000
```

The value obtained for the uncorrected formation energy is -8.748 eV per formula unit.

Record 4
Ho2Ga2Rh | GGA-PBE | relaxed

Structure (POSCAR):
```
Ho2Ga2Rh
1.0
5.3745 -2.0517 0.0000
5.3745 2.0517 0.0000
-4.5609 0.0000 9.5549
Ho Ga Rh
4 4 2
Direct
0.0053 0.0053 0.3292
0.1899 0.1899 0.1213
0.8101 0.8101 0.8787
0.9947 0.9947 0.6708
0.3523 0.3523 0.4468
0.4728 0.4728 0.1099
0.5272 0.5272 0.8901
0.6477 0.6477 0.5532
0.2841 0.2841 0.6640
0.7159 0.7159 0.3360
```

For the energy of formation from the pure elements, the calculation gives -0.7732 eV per atom.